No. 1
DFT (PBE) results for SrIn4Hg2 after structural relaxation.

Cell: 4.729 18.057 4.681 Å, 90.00 90.00 90.00°
Space group Cmmm (No. 65)
One atom of each set of equivalent atoms:
Sr1 0.000 0.000 0.000 [2 per cell]
In1 0.000 0.185 0.500 [4 per cell]
In2 0.000 0.312 0.000 [4 per cell]
Hg1 0.000 0.421 0.500 [4 per cell]

Output
Formation energy (eV per formula unit): -1.44
DOS at the Fermi energy (states/eV per atom): 0.412
ΔE to the lowest computed polymorph (meV per atom): 16

=====

No. 2
DFT (PBE) results for Sr2In6Hg3 after structural relaxation.

Cell: 8.9727 8.9727 4.5936 Å, 90.00 90.00 120.00°
Space group P-62m (No. 189)
One atom of each set of equivalent atoms:
Sr1 0.3333 0.6667 0.0000 [2 per cell]
In1 0.0000 0.2844 0.5000 [3 per cell]
In2 0.0000 0.8051 0.0000 [3 per cell]
Hg1 0.0000 0.6028 0.5000 [3 per cell]

Output
Formation energy (eV per formula unit): -3.01
DOS at the Fermi energy (states/eV per atom): 0.295